[1]
First-principles (PBE) data for a geometry-optimized CaIn6Ni4 structure, as listed in Alexandria via LeMat-Bulk.

Output
Energy relative to the elements in meV per atom: -248
VASP energy in eV/atom: -4.026

a = 6.7259 Å, b = 6.7259 Å, c = 9.6797 Å
α = 90.00°, β = 90.00°, γ = 90.00°
Space group I-42m (No. 121)
Unique sites:
Ca  0.0000  0.0000  0.0000 x2
In  0.0000  0.5000  0.0000 x4
In  0.1819  0.1819  0.2875 x8
Ni  0.1592  0.1592  0.5703 x8

[2]
First-principles (PBE) data for a geometry-optimized Ta3InP structure, as listed in Alexandria via LeMat-Bulk.

Output
Energy relative to the elements in meV per atom: 2420
VASP energy in eV/atom: -6.321

a = 4.9948 Å, b = 4.9948 Å, c = 4.9948 Å
α = 90.00°, β = 90.00°, γ = 90.00°
Space group Pm-3m (No. 221)
Unique sites:
Ta  0.0000  0.0000  0.5000 x3
In  0.0000  0.0000  0.0000 x1
P  0.5000  0.5000  0.5000 x1

[3]
First-principles (PBE) data for a geometry-optimized Pm12GeRu6 structure, as listed in Alexandria via LeMat-Bulk.

Output
Energy relative to the elements in meV per atom: -145
VASP energy in eV/atom: -6.318

a = 13.0714 Å, b = 13.0714 Å, c = 11.1232 Å
α = 90.00°, β = 90.00°, γ = 120.00°
Space group R-3 (No. 148, hexagonal axes)
Unique sites:
Pm  0.0329  0.8278  0.3819 x18
Pm  0.0336  0.8127  0.8901 x18
Ge  0.0000  0.0000  0.0000 x3
Ru  0.0500  0.7918  0.6476 x18

[4]
First-principles (PBE) data for a geometry-optimized CrCdP2Cl structure, as listed in Alexandria via LeMat-Bulk.

Output
VASP energy in eV/atom: -4.477
Energy relative to the elements, uncorrected in meV per atom: 164

a = 4.4263 Å, b = 4.4263 Å, c = 5.1205 Å
α = 90.00°, β = 90.00°, γ = 90.00°
Space group P4/mmm (No. 123)
Unique sites:
Cr  0.0000  0.0000  0.0000 x1
Cd  0.5000  0.5000  0.5000 x1
P  0.0000  0.5000  0.0000 x2
Cl  0.0000  0.0000  0.5000 x1

[5]
First-principles (PBE) data for a geometry-optimized PrSb3Te6 structure, as listed in Alexandria via LeMat-Bulk.

Output
VASP energy in eV/atom: -4.047
Energy relative to the elements, uncorrected in meV per atom: -447

a = 13.1019 Å, b = 4.3305 Å, c = 13.2090 Å
α = 90.00°, β = 109.47°, γ = 90.00°
Space group P2_1/m (No. 11)
Unique sites:
Pr  0.1956  0.2500  0.0411 x2
Sb  0.0456  0.7500  0.2994 x2
Sb  0.3441  0.2500  0.4447 x2
Sb  0.3932  0.7500  0.8530 x2
Te  0.0256  0.7500  0.8921 x2
Te  0.1254  0.2500  0.4664 x2
Te  0.2329  0.2500  0.8003 x2
Te  0.2427  0.7500  0.2454 x2
Te  0.3971  0.7500  0.0736 x2
Te  0.4262  0.7500  0.6043 x2

[6]
First-principles (PBE) data for a geometry-optimized CuP2Ir structure, as listed in Alexandria via LeMat-Bulk.

Output
Energy relative to the elements in meV per atom: 74
VASP energy in eV/atom: -5.870

a = 2.8778 Å, b = 3.8008 Å, c = 5.1255 Å
α = 90.00°, β = 90.00°, γ = 90.00°
Space group Pmm2 (No. 25)
Unique sites:
Cu  0.0000  0.0000  0.0000 x1
P  0.0000  0.0000  0.5126 x1
P  0.5000  0.5000  0.9053 x1
Ir  0.5000  0.5000  0.3822 x1

[7]
First-principles (PBE) data for a geometry-optimized PmY3Pu2Se6 structure, as listed in Alexandria via LeMat-Bulk.

Output
VASP energy in eV/atom: -7.868
Energy relative to the elements, uncorrected in meV per atom: -1725

a = 7.1177 Å, b = 12.3405 Å, c = 7.1787 Å
α = 90.00°, β = 109.33°, γ = 90.00°
Space group C2/m (No. 12)
Unique sites:
Pm  0.0000  0.0000  0.0000 x2
Y  0.0000  0.1653  0.5000 x4
Y  0.0000  0.5000  0.5000 x2
Pu  0.0000  0.3331  0.0000 x4
Se  0.2461  0.3316  0.7438 x8
Se  0.2484  0.5000  0.2558 x4

[8]
First-principles (PBE) data for a geometry-optimized Be2InHg structure, as listed in Alexandria via LeMat-Bulk.

Output
Energy relative to the elements in meV per atom: 383
VASP energy in eV/atom: -2.241

a = 6.5893 Å, b = 3.7943 Å, c = 5.9577 Å
α = 90.00°, β = 90.16°, γ = 90.00°
Space group Cm (No. 8)
Unique sites:
Be  0.0000  0.0000  0.0000 x2
Be  0.1669  0.5000  0.0001 x2
In  0.3355  0.0000  0.2657 x2
Hg  0.3299  0.0000  0.7322 x2

Total magnetization (μB/f.u.)
0.00, 0.00, 0.00, 0.76, 0.00, 0.00, 11.76, 0.00